PBE-GGA SmMnGe2Rh, relaxed; calculated volume = 90.1 Å³/cell; formation energy from the elements = -685 meV/atom; DOS at the Fermi energy = 0.55 states/eV per atom; space group = I-4m2, No. 119
1.0
-2.0518 2.0518 5.3478
2.0518 -2.0518 5.3478
2.0518 2.0518 -5.3478
Sm Mn Ge Rh
1 1 2 1
Direct
0.0000 0.0000 0.0000
0.7500 0.2500 0.5000
0.3816 0.3816 0.0000
0.6184 0.6184 0.0000
0.2500 0.7500 0.5000

=====

PBE-GGA NaTbSn, relaxed; calculated volume = 96.8 Å³/cell; formation energy from the elements = -298 meV/atom; space group = F-43m, No. 216
1.0
0.0000 3.6443 3.6443
3.6443 0.0000 3.6443
3.6443 3.6443 0.0000
Na Tb Sn
1 1 1
Direct
0.0000 0.0000 0.0000
0.5000 0.5000 0.5000
0.7500 0.7500 0.7500

=====

PBE-GGA Fe2SiRh5, relaxed; calculated volume = 217.4 Å³/cell; E_form (uncorrected) = -0.310 eV per atom; DOS at the Fermi energy = 0.62 states/eV per atom; space group = Pbam, No. 55
1.0
5.2620 0.0000 0.0000
0.0000 10.2219 0.0000
0.0000 0.0000 4.0419
Fe Si Rh
4 2 10
Direct
0.1599 0.1384 0.0000
0.3401 0.6384 0.0000
0.6599 0.3616 0.0000
0.8401 0.8616 0.0000
0.0000 0.5000 0.5000
0.5000 0.0000 0.5000
0.0000 0.0000 0.5000
0.1059 0.7328 0.5000
0.1733 0.3937 0.0000
0.3267 0.8937 0.0000
0.3941 0.2328 0.5000
0.5000 0.5000 0.5000
0.6059 0.7672 0.5000
0.6733 0.1063 0.0000
0.8267 0.6063 0.0000
0.8941 0.2672 0.5000

=====

PBE-GGA CeHo2Au, relaxed; calculated volume = 104.3 Å³/cell; ΔE to the lowest computed polymorph = 180 meV per atom; formation energy from the elements = -191 meV/atom; DOS at the Fermi energy = 2.12 states/eV per atom; space group = P4/mmm, No. 123
1.0
4.8399 0.0000 0.0000
0.0000 4.8399 0.0000
0.0000 0.0000 4.4509
Ce Ho Au
1 2 1
Direct
0.0000 0.0000 0.0000
0.0000 0.5000 0.5000
0.5000 0.0000 0.5000
0.5000 0.5000 0.0000

=====

PBE-GGA RbCd3Pd, relaxed; calculated volume = 296.3 Å³/cell; ΔE to the lowest computed polymorph = 47 meV per atom; formation energy from the elements = -146 meV/atom; DOS at the Fermi energy = 0.44 states/eV per atom; space group = C2/m, No. 12
1.0
7.4583 -2.4664 0.0000
7.4583 2.4664 0.0000
-1.1050 0.0000 8.0548
Rb Cd Pd
2 6 2
Direct
0.0477 0.0477 0.2985
0.9523 0.9523 0.7015
0.1988 0.1988 0.9228
0.2563 0.2563 0.5965
0.4100 0.4100 0.0399
0.5900 0.5900 0.9601
0.7437 0.7437 0.4035
0.8012 0.8012 0.0772
0.2843 0.2843 0.2598
0.7157 0.7157 0.7402

=====

PBE-GGA BaCaMg2In2, relaxed; calculated volume = 189.0 Å³/cell; formation energy from the elements = -321 meV/atom; DOS at the Fermi energy = 0.76 states/eV per atom; space group = P-3m1, No. 164
1.0
5.1314 0.0000 0.0000
-2.5657 4.4439 0.0000
0.0000 0.0000 8.2893
Ba Ca Mg In
1 1 2 2
Direct
0.0000 0.0000 0.0000
0.0000 0.0000 0.5000
0.3333 0.6667 0.6919
0.6667 0.3333 0.3081
0.3333 0.6667 0.2913
0.6667 0.3333 0.7087

=====

Q: What is the calculated volume in the fifth record?
A: 296.3 Å³/cell